Here is an optimized crystal structure of Be2NiW from Alexandria via LeMat-Bulk. Energies are from PBE-GGA.

Output
Energy, Ry/atom: -0.470
Formation energy from the elements, eV per atom: 0.155

Structure (CIF):
```
data_Be2NiW
_cell_length_a 5.549
_cell_length_b 5.549
_cell_length_c 5.549
_cell_angle_alpha 90.00
_cell_angle_beta 90.00
_cell_angle_gamma 90.00
_space_group_name_H-M_alt 'F m -3 m'
_space_group_IT_number 225
_space_group_name_Hall '-F 4 2 3'
loop_
_atom_site_label
_atom_site_type_symbol
_atom_site_fract_x
_atom_site_fract_y
_atom_site_fract_z
Be1 Be 0.250 0.250 0.250
Ni1 Ni 0.000 0.000 0.000
W1 W 0.000 0.000 0.500
```